1.
Compound: BeRuW2
Source: Alexandria
Functional: PBEsol
Structure: relaxed

## Properties
Energy above the most stable polymorph in this dataset ... 89 meV per atom
Electronic total energy ... -40.73 eV/f.u.
ΔE_f ... 265 meV/atom

Cell: 3.0436 3.0436 5.7787 Å, 90.00 90.00 90.00°
With the nearest neighbours (Å) after each atom.
Space group P4/mmm (No. 123)
Symmetry-distinct sites (fractional):
Be 0.0000 0.0000 0.0000 x1  8 W 2.50
Ru 0.0000 0.0000 0.5000 x1  8 W 2.70, 2 Be 2.89
W 0.5000 0.5000 0.2185 x2  4 Be 2.50, 1 W 2.53, 4 Ru 2.70

=====

2.
Compound: BeTl3Br
Source: Alexandria
Functional: PBEsol
Structure: relaxed

## Properties
Formation energy without anion corrections ... -1 kJ per mole of atoms
Electronic total energy ... -13.81 eV/f.u.

Cell: 5.0310 5.0310 5.0310 Å, 90.00 90.00 90.00°
With the nearest neighbours (Å) after each atom.
Space group Pm-3m (No. 221)
Symmetry-distinct sites (fractional):
Be 0.0000 0.0000 0.0000 x1  6 Tl 2.52
Tl 0.0000 0.0000 0.5000 x3  2 Be 2.52
Br 0.5000 0.5000 0.5000 x1  12 Tl 3.56

=====

3.
Compound: Dy10Si17
Source: Alexandria
Functional: PBEsol
Structure: relaxed

## Properties
Formation energy without anion corrections ... -73 kJ per mole of atoms
Electronic total energy ... -168.03 eV/f.u.

Cell: 8.2066 18.9467 6.5931 Å, 90.00 90.00 90.00°
With the nearest neighbours (Å) after each atom.
Space group Imm2 (No. 44)
Symmetry-distinct sites (fractional):
Dy 0.2443 0.0000 0.0000 x4  9 Si 2.90-3.25
Dy 0.2481 0.3005 0.5030 x8  8 Si 2.87-3.03
Dy 0.2478 0.3995 0.0089 x8  9 Si 2.88-3.08
Si 0.0000 0.0000 0.3188 x2  3 Si 2.32-2.44
Si 0.0000 0.0000 0.6710 x2  3 Si 2.31-2.32
Si 0.0000 0.1050 0.8504 x4  3 Si 2.31-2.39
Si 0.0000 0.1231 0.2098 x4  2 Si 2.39-2.44
Si 0.0000 0.1995 0.6126 x4  2 Si 2.38-2.42
Si 0.0000 0.2833 0.1985 x4  2 Si 2.40-2.41
Si 0.0000 0.3007 0.8365 x4  3 Si 2.41-2.43
Si 0.0000 0.3998 0.3421 x4  3 Si 2.39-2.40
Si 0.0000 0.4199 0.7001 x4  2 Si 2.39-2.43
Si 0.0000 0.5000 0.1231 x2  2 Si 2.39

=====

4.
Compound: Ba2MnWO6
Source: Alexandria
Functional: PBEsol
Structure: relaxed

## Properties
Formation energy without anion corrections ... -237 kJ per mole of atoms
Electronic total energy ... -83.88 eV/f.u.

Cell: 8.1705 8.1705 8.1705 Å, 90.00 90.00 90.00°
With the nearest neighbours (Å) after each atom.
Space group Fm-3m (No. 225)
Symmetry-distinct sites (fractional):
Ba 0.2500 0.2500 0.2500 x8  12 O 2.89
Mn 0.0000 0.0000 0.0000 x4  6 O 2.15
W 0.0000 0.0000 0.5000 x4  6 O 1.94
O 0.0000 0.0000 0.2631 x24  1 W 1.94, 1 Mn 2.15

=====

5.
Compound: LiLa2Mg
Source: Alexandria
Functional: PBEsol
Structure: relaxed

## Properties
Energy above the most stable polymorph in this dataset ... 236 meV per atom
Electronic total energy ... -13.38 eV/f.u.
ΔE_f ... 249 meV/atom

Cell: 8.6399 8.6399 6.1565 Å, 90.00 90.00 90.00°
With the nearest neighbours (Å) after each atom.
Space group I-42d (No. 122)
Symmetry-distinct sites (fractional):
Li 0.0000 0.0000 0.0000 x4  4 La 2.99, 2 Mg 3.08
La 0.2222 0.7500 0.1250 x8  2 Li 2.99, 2 La 3.12, 2 Mg 3.32
Mg 0.0000 0.0000 0.5000 x4  2 Li 3.08, 4 La 3.32

=====

6.
Compound: BeTc3N
Source: Alexandria
Functional: PBEsol
Structure: relaxed

## Properties
Formation energy without anion corrections ... 3 kJ per mole of atoms
Electronic total energy ... -46.17 eV/f.u.

Cell: 3.9292 3.9292 3.9292 Å, 90.00 90.00 90.00°
With the nearest neighbours (Å) after each atom.
Space group Pm-3m (No. 221)
Symmetry-distinct sites (fractional):
Be 0.0000 0.0000 0.0000 x1  12 Tc 2.78
Tc 0.0000 0.5000 0.5000 x3  2 N 1.96
N 0.5000 0.5000 0.5000 x1  6 Tc 1.96

=====

7.
Compound: Zn3InI
Source: Alexandria
Functional: PBEsol
Structure: relaxed

## Properties
Formation energy without anion corrections ... 83 kJ per mole of atoms
Electronic total energy ... -5.17 eV/f.u.

Cell: 5.3752 5.3752 5.3752 Å, 90.00 90.00 90.00°
With the nearest neighbours (Å) after each atom.
Space group Pm-3m (No. 221)
Symmetry-distinct sites (fractional):
Zn 0.0000 0.0000 0.5000 x3  2 I 2.69
In 0.5000 0.5000 0.5000 x1  12 Zn 3.80
I 0.0000 0.0000 0.0000 x1  6 Zn 2.69

=====

8.
Compound: ZnNiIr2
Source: Alexandria
Functional: PBEsol
Structure: relaxed

## Properties
Electronic total energy ... -27.63 eV/f.u.
ΔE_f ... -62 meV/atom

Cell: 8.5403 2.6817 4.6412 Å, 90.00 100.54 90.00°
With the nearest neighbours (Å) after each atom.
Space group C2/m (No. 12)
Symmetry-distinct sites (fractional):
Zn 0.0000 0.0000 0.0000 x2  6 Ir 2.60-2.64, 4 Ni 2.68, 2 Zn 2.68
Ni 0.0000 0.5000 0.5000 x2  6 Ir 2.57-2.62, 4 Zn 2.68, 2 Ni 2.68
Ir 0.2463 0.0000 0.7431 x4  3 Ni 2.57-2.62, 3 Zn 2.60-2.64, 6 Ir 2.64-2.73

=====

9.
Compound: LiAu
Source: Alexandria
Functional: PBEsol
Structure: relaxed

## Properties
Electronic total energy ... -6.65 eV/f.u.
ΔE_f ... -377 meV/atom

Cell: 2.8753 2.8753 12.8006 Å, 90.00 90.00 120.00°
With the nearest neighbours (Å) after each atom.
Space group R-3m (No. 166, hexagonal axes)
Symmetry-distinct sites (fractional):
Li 0.0000 0.0000 0.0000 x3  6 Au 2.70, 6 Li 2.88
Au 0.0000 0.0000 0.5000 x3  6 Li 2.70, 6 Au 2.88

=====

10.
Compound: CuTcSbI2
Source: Alexandria
Functional: PBEsol
Structure: relaxed

## Properties
Formation energy without anion corrections ... 115 kJ per mole of atoms
Electronic total energy ... -17.74 eV/f.u.

Cell: 5.1486 5.1486 5.1599 Å, 90.00 90.00 90.00°
With the nearest neighbours (Å) after each atom.
Space group P4/mmm (No. 123)
Symmetry-distinct sites (fractional):
Cu 0.0000 0.0000 0.0000 x1  4 I 2.57, 2 Sb 2.58
Tc 0.5000 0.5000 0.5000 x1  4 Sb 3.64, 8 I 3.64
Sb 0.0000 0.0000 0.5000 x1  2 Cu 2.58
I 0.0000 0.5000 0.0000 x2  2 Cu 2.57

=====

11.
Compound: Ge2Mo
Source: Alexandria
Functional: PBEsol
Structure: relaxed

## Properties
Electronic total energy ... -22.37 eV/f.u.
ΔE_f ... -242 meV/atom

Cell: 6.3179 3.4321 8.5455 Å, 90.00 90.00 90.00°
With the nearest neighbours (Å) after each atom.
Space group Pnma (No. 62)
Symmetry-distinct sites (fractional):
Ge 0.0617 0.2500 0.1324 x4  5 Mo 2.64-2.86, 4 Ge 2.68-2.94
Ge 0.1358 0.2500 0.5411 x4  4 Ge 2.53-2.68, 4 Mo 2.56-2.68
Mo 0.2493 0.7500 0.3287 x4  9 Ge 2.56-2.86

=====

12.
Compound: Zr2AsPt2
Source: Alexandria
Functional: PBEsol
Structure: relaxed

## Properties
Electronic total energy ... -39.62 eV/f.u.
ΔE_f ... -482 meV/atom

Cell: 4.5681 4.5681 10.2212 Å, 90.00 90.00 90.00°
With the nearest neighbours (Å) after each atom.
Space group I4/mmm (No. 139)
Symmetry-distinct sites (fractional):
Zr 0.0000 0.5000 0.2500 x4  4 Pt 2.63
As 0.0000 0.0000 0.0000 x2  8 Zr 3.43, 8 Pt 3.46
Pt 0.0000 0.0000 0.3774 x4  1 Pt 2.51, 4 Zr 2.63